This record from the Alexandria database describes crystalline BeSiAsSe2 at its relaxed geometry. The functional is PBE.

Output
The uncorrected formation energy is 0.516 eV/atom. The energy above the most stable polymorph in this dataset is 0 meV per atom. Its calculated total energy is -3.64 eV/atom. Its symmetry is P4/mmm.

a b c (Å): 4.790 4.790 4.209
angles (deg): 90.00 90.00 90.00
Positions (direct):
Be: 0.000 0.000 0.000
Si: 0.500 0.500 0.500
As: 0.000 0.000 0.500
Se: 0.000 0.500 0.000
Se: 0.500 0.000 0.000